1.
A plane-wave DFT calculation with PBEsol was carried out for a relaxed Al2SbAs crystal.

Structure (POSCAR):
```
Al2SbAs
1.0
-2.964 2.964 5.902
2.964 -2.964 5.902
2.964 2.964 -5.902
Al Sb As
4 2 2
Direct
0.099 0.625 0.974
0.375 0.349 0.474
0.651 0.125 0.026
0.875 0.901 0.526
0.250 0.750 0.500
0.500 0.500 0.000
0.000 0.000 0.000
0.750 0.250 0.500
```

Properties
- uncorrected energy (eV per atom) = -4.72
- crystal system = tetragonal
- raw formation energy (eV/atom) = -0.257
- SG = I-42d
- calculated density (g cm⁻³) = 4.013
- energy relative to the lowest polymorph listed for this composition (meV per atom) = 0.0
- magnetic moment (μB per cell) = 0.00

2.
A plane-wave DFT calculation with PBEsol was carried out for a relaxed AlSb2As crystal.

Structure (POSCAR):
```
AlSb2As
1.0
2.008 1.159 6.829
-2.008 1.159 6.829
0.000 -2.319 6.829
Al Sb As
1 2 1
Direct
0.000 0.000 0.000
0.237 0.237 0.237
0.483 0.483 0.483
0.719 0.719 0.719
```

Properties
- uncorrected energy (eV per atom) = -4.60
- crystal system = trigonal
- raw formation energy (eV/atom) = -0.018
- SG = R3m
- calculated density (g cm⁻³) = 6.014
- energy relative to the lowest polymorph listed for this composition (meV per atom) = 0.0
- magnetic moment (μB per cell) = 0.00

3.
A plane-wave DFT calculation with PBEsol was carried out for a relaxed AlSbAs2 crystal.

Structure (POSCAR):
```
AlSbAs2
1.0
3.357 0.000 0.000
0.000 3.357 0.000
0.000 0.000 6.919
Al Sb As
1 1 2
Direct
0.000 0.000 0.000
0.000 0.000 0.500
0.500 0.500 0.203
0.500 0.500 0.797
```

Properties
- uncorrected energy (eV per atom) = -4.56
- crystal system = tetragonal
- raw formation energy (eV/atom) = 0.154
- SG = P4/mmm
- calculated density (g cm⁻³) = 6.358
- magnetic moment (μB per cell) = 0.00